Entry 1:
VASP calculation (PBE) on a geometry-optimized Pa2TeAs structure.

Total moment, μB/f.u.: 0.73
Energy above the most stable polymorph in this dataset, eV per formula unit: 0.59
Uncorrected formation energy, eV per atom: -0.701
Space group: Pmmn, No. 59

Unit cell a=3.7634 b=8.3820 c=6.5902 alpha=90.00 beta=90.00 gamma=90.00
Fractional coordinates of all 8 atoms:
Pa 0.2500 0.0090 0.2286
Pa 0.2500 0.4910 0.2286
Pa 0.7500 0.5090 0.7714
Pa 0.7500 0.9910 0.7714
Te 0.2500 0.2500 0.5863
Te 0.7500 0.7500 0.4137
As 0.2500 0.7500 0.9210
As 0.7500 0.2500 0.0790


Entry 2:
VASP calculation (PBE) on a geometry-optimized AcPmAlSn structure.

E, eV for the cell shown: -18.198
Total moment, μB/f.u.: 0.00
Space group: F-43m, No. 216

Unit cell a=5.5466 b=5.5466 c=5.5466 alpha=60.00 beta=60.00 gamma=60.00
Fractional coordinates of all 4 atoms:
Ac 0.0000 0.0000 0.0000
Pm 0.5000 0.5000 0.5000
Al 0.7500 0.7500 0.7500
Sn 0.2500 0.2500 0.2500


Entry 3:
VASP calculation (PBE) on a geometry-optimized Y2CoMo structure.

Total moment, μB/f.u.: 2.29
Energy above the most stable polymorph in this dataset, eV per formula unit: 1.83
Space group: F-43m, No. 216

Unit cell a=4.8317 b=4.8317 c=4.8317 alpha=60.00 beta=60.00 gamma=60.00
Fractional coordinates of all 4 atoms:
Y 0.0000 0.0000 0.0000
Y 0.2500 0.2500 0.2500
Co 0.7500 0.7500 0.7500
Mo 0.5000 0.5000 0.5000


Entry 4:
VASP calculation (PBE) on a geometry-optimized SiPAu structure.

Total moment, μB/f.u.: 0.00
Energy above the most stable polymorph in this dataset, eV per formula unit: 0.97
Uncorrected formation energy, eV per atom: 0.124
Space group: P6_3mc, No. 186

Unit cell a=3.4495 b=3.4495 c=10.0697 alpha=90.00 beta=90.00 gamma=120.00
Fractional coordinates of all 6 atoms:
Si 0.0000 0.0000 0.0000
Si 0.0000 0.0000 0.5000
P 0.3333 0.6667 0.3783
P 0.6667 0.3333 0.8783
Au 0.3333 0.6667 0.6771
Au 0.6667 0.3333 0.1771


Entry 5:
VASP calculation (PBE) on a geometry-optimized BaO structure.

Total moment, μB/f.u.: 0.00
Uncorrected formation energy, eV per atom: -2.473
Space group: Fm-3m, No. 225

Unit cell a=3.9678 b=3.9678 c=3.9678 alpha=60.00 beta=60.00 gamma=60.00
Fractional coordinates of all 2 atoms:
Ba 0.0000 0.0000 0.0000
O 0.5000 0.5000 0.5000


Entry 6:
VASP calculation (PBE) on a geometry-optimized BaLaHg structure.

Total moment, μB/f.u.: 0.11
Energy above the most stable polymorph in this dataset, eV per formula unit: 0.00
Space group: I4mm, No. 107

Unit cell a=7.6871 b=7.6871 c=7.6871 alpha=149.31 beta=149.31 gamma=43.96
Fractional coordinates of all 3 atoms:
Ba 0.0000 0.0000 0.0000
La 0.7286 0.7286 0.0000
Hg 0.3366 0.3366 0.0000


Number 6 is which compound?
BaLaHg